This record from Alexandria describes AsP2O2 after structural relaxation. The functional is PBE.

a = 3.6050 Å, b = 3.6050 Å, c = 5.4452 Å
α = 90.00°, β = 90.00°, γ = 90.00°
Positions (direct):
As (0.0000, 0.0000, 0.0000)
P (0.0000, 0.0000, 0.5000)
P (0.5000, 0.5000, 0.5000)
O (0.0000, 0.5000, 0.0000)
O (0.5000, 0.0000, 0.0000)

Output
ΔE_f (raw) (eV per formula unit): 0.133
Space-group type: P4/mmm (123)
E (eV per formula unit): -25.25

=====

This record from Alexandria describes TeP2Pb after structural relaxation. The functional is PBE.

a = 3.2795 Å, b = 5.5202 Å, c = 11.1659 Å
α = 90.00°, β = 90.00°, γ = 90.00°
Positions (direct):
Te (0.0000, 0.0000, 0.0000)
Te (0.5000, 0.5000, 0.5000)
P (0.0000, 0.0000, 0.3918)
P (0.0000, 0.5000, 0.7597)
P (0.5000, 0.0000, 0.2597)
P (0.5000, 0.5000, 0.8918)
Pb (0.0000, 0.5000, 0.2345)
Pb (0.5000, 0.0000, 0.7345)

Output
ΔE_f (raw) (eV per formula unit): 0.693
Space-group type: Imm2 (44)
E (eV per formula unit): -16.98

=====

This record from Alexandria describes ZrTlAs4 after structural relaxation. The functional is PBE.

a = 5.6512 Å, b = 5.6512 Å, c = 5.6512 Å
α = 60.00°, β = 60.00°, γ = 60.00°
Positions (direct):
Zr (0.0000, 0.0000, 0.0000)
Tl (0.2500, 0.2500, 0.2500)
As (0.1224, 0.6259, 0.6259)
As (0.6259, 0.1224, 0.6259)
As (0.6259, 0.6259, 0.1224)
As (0.6259, 0.6259, 0.6259)

Output
Energy of formation from the pure elements (eV/atom): 0.164
Space-group type: F-43m (216)
E (eV per formula unit): -28.53

=====

This record from Alexandria describes MnCuW2 after structural relaxation. The functional is PBE.

a = 8.9427 Å, b = 2.6729 Å, c = 4.8164 Å
α = 90.00°, β = 98.13°, γ = 90.00°
Positions (direct):
Mn (0.0000, 0.0000, 0.0000)
Mn (0.5000, 0.5000, 0.0000)
Cu (0.2414, 0.5000, 0.2443)
Cu (0.7414, 0.0000, 0.2443)
W (0.2500, 0.0000, 0.7601)
W (0.4887, 0.0000, 0.4770)
W (0.7500, 0.5000, 0.7601)
W (0.9887, 0.5000, 0.4770)

Output
Energy of formation from the pure elements (eV/atom): 0.314
Space-group type: Cm (8)
E (eV per formula unit): -37.92

=====

This record from Alexandria describes Fe3Co5 after structural relaxation. The functional is PBE.

a = 4.0095 Å, b = 4.0095 Å, c = 5.6554 Å
α = 90.00°, β = 90.00°, γ = 90.00°
Positions (direct):
Fe (0.0000, 0.0000, 0.0000)
Fe (0.0000, 0.5000, 0.2547)
Fe (0.5000, 0.0000, 0.7453)
Co (0.0000, 0.0000, 0.5000)
Co (0.0000, 0.5000, 0.7563)
Co (0.5000, 0.0000, 0.2437)
Co (0.5000, 0.5000, 0.0000)
Co (0.5000, 0.5000, 0.5000)

Output
Energy of formation from the pure elements (eV/atom): 0.022
Space-group type: P-4m2 (115)
E (eV per formula unit): -60.74

=====

This record from Alexandria describes Nb2IrRh2 after structural relaxation. The functional is PBE.

a = 8.8706 Å, b = 3.9399 Å, c = 6.2325 Å
α = 90.00°, β = 133.51°, γ = 90.00°
Positions (direct):
Nb (0.0814, 0.0000, 0.2939)
Nb (0.4186, 0.5000, 0.7061)
Nb (0.5814, 0.5000, 0.2939)
Nb (0.9186, 0.0000, 0.7061)
Ir (0.0000, 0.5000, 0.5000)
Ir (0.5000, 0.0000, 0.5000)
Rh (0.1954, 0.5000, 0.0994)
Rh (0.3046, 0.0000, 0.9006)
Rh (0.6954, 0.0000, 0.0994)
Rh (0.8046, 0.5000, 0.9006)

Output
Energy of formation from the pure elements (eV/atom): -0.422
Space-group type: C2/m (12)
E (eV per formula unit): -45.81